(1)
# SiWCl2

A relaxed structure of SiWCl2 (GGA-PBE, Alexandria via LeMat-Bulk).

extended XYZ file:
```
4
Lattice="2.988 0.000 0.000 0.000 3.279 0.000 0.000 0.000 9.240" Properties=species:S:1:pos:R:3 pbc="T T T"
Si 0.000 0.000 0.000
W 1.494 1.640 7.904
Cl 0.000 0.000 2.056
Cl 1.494 1.640 5.666
```

## Properties
As for the raw total energy: -5.71 eV per atom. The spin magnetization is 0.0 μB/cell. Its uncorrected formation energy is -0.76 eV per formula unit.



(2)
# SiWCl2

A relaxed structure of SiWCl2 (GGA-PBE, Alexandria via LeMat-Bulk).

extended XYZ file:
```
4
Lattice="7.598 -1.510 0.000 7.598 1.510 0.000 -0.806 0.000 4.075" Properties=species:S:1:pos:R:3 pbc="T T T"
Si 0.000 0.000 0.000
W 7.195 0.000 2.037
Cl 1.568 0.000 2.704
Cl 12.823 0.000 1.371
```

## Properties
As for the raw total energy: -5.50 eV per atom. The spin magnetization is 0.0 μB/cell. Its uncorrected formation energy is 0.05 eV per formula unit.



(3)
# SiW2Cl

A relaxed structure of SiW2Cl (GGA-PBE, Alexandria via LeMat-Bulk).

extended XYZ file:
```
4
Lattice="0.000 3.084 3.084 3.084 0.000 3.084 3.084 3.084 0.000" Properties=species:S:1:pos:R:3 pbc="T T T"
Si 0.000 0.000 0.000
W 1.542 1.542 1.542
W 4.626 4.626 4.626
Cl 3.084 3.084 3.084
```

## Properties
As for the raw total energy: -7.57 eV per atom. The spin magnetization is 0.0 μB/cell. Its uncorrected formation energy is 2.91 eV per formula unit.



(4)
# SiW2Cl

A relaxed structure of SiW2Cl (GGA-PBE, Alexandria via LeMat-Bulk).

extended XYZ file:
```
4
Lattice="-1.454 2.187 4.831 1.454 -2.187 4.831 1.454 2.187 -4.831" Properties=species:S:1:pos:R:3 pbc="T T T"
Si 0.000 0.000 0.000
W 1.454 0.000 2.173
W 0.000 0.000 4.784
Cl 0.000 2.187 2.105
```

## Properties
As for the raw total energy: -7.60 eV per atom. The spin magnetization is 0.0 μB/cell. Its uncorrected formation energy is 2.79 eV per formula unit.



(5)
# SiW2Cl

A relaxed structure of SiW2Cl (GGA-PBE, Alexandria via LeMat-Bulk).

extended XYZ file:
```
4
Lattice="3.330 0.000 0.000 0.000 4.132 0.000 -0.581 0.000 5.792" Properties=species:S:1:pos:R:3 pbc="T T T"
Si 0.000 0.000 0.000
W 0.908 2.066 0.935
W 1.841 2.066 4.858
Cl 1.375 0.000 2.896
```

## Properties
As for the raw total energy: -7.65 eV per atom. The spin magnetization is 0.0 μB/cell. Its uncorrected formation energy is 2.57 eV per formula unit.



(6)
# SiWCl3

A relaxed structure of SiWCl3 (GGA-PBE, Alexandria via LeMat-Bulk).

extended XYZ file:
```
5
Lattice="4.872 0.000 0.000 0.000 4.872 0.000 0.000 0.000 4.872" Properties=species:S:1:pos:R:3 pbc="T T T"
Si 0.000 0.000 0.000
W 2.436 2.436 2.436
Cl 0.000 2.436 2.436
Cl 2.436 0.000 2.436
Cl 2.436 2.436 0.000
```

## Properties
As for the raw total energy: -4.19 eV per atom. The spin magnetization is 3.5 μB/cell. Its uncorrected formation energy is 2.96 eV per formula unit.



(7)
# SiWCl2

A relaxed structure of SiWCl2 (GGA-PBE, Alexandria via LeMat-Bulk).

extended XYZ file:
```
4
Lattice="2.876 0.000 0.000 0.000 4.491 0.000 0.000 0.000 5.239" Properties=species:S:1:pos:R:3 pbc="T T T"
Si 0.000 0.000 0.000
W 1.438 0.000 2.619
Cl 0.000 2.246 2.619
Cl 1.438 2.246 0.000
```

## Properties
As for the raw total energy: -4.85 eV per atom. The spin magnetization is 1.2 μB/cell. Its uncorrected formation energy is 2.68 eV per formula unit.



(8)
# SiWCl2

A relaxed structure of SiWCl2 (GGA-PBE, Alexandria via LeMat-Bulk).

extended XYZ file:
```
4
Lattice="4.681 0.000 0.000 0.000 4.681 0.000 0.000 0.000 2.977" Properties=species:S:1:pos:R:3 pbc="T T T"
Si 0.000 0.000 0.000
W 2.340 2.340 0.000
Cl 0.000 2.340 1.488
Cl 2.340 0.000 1.488
```

## Properties
As for the raw total energy: -4.39 eV per atom. The spin magnetization is 0.0 μB/cell. Its uncorrected formation energy is 4.50 eV per formula unit.



(9)
# SiW2Cl

A relaxed structure of SiW2Cl (GGA-PBE, Alexandria via LeMat-Bulk).

extended XYZ file:
```
4
Lattice="4.635 -1.510 0.000 4.635 1.510 0.000 -1.134 0.000 4.510" Properties=species:S:1:pos:R:3 pbc="T T T"
Si 0.000 0.000 0.000
W 3.646 0.000 1.983
W 6.689 0.000 0.380
Cl 1.405 0.000 3.025
```

## Properties
As for the raw total energy: -7.75 eV per atom. The spin magnetization is 0.0 μB/cell. Its uncorrected formation energy is 2.18 eV per formula unit.



(10)
# SiW2Cl

A relaxed structure of SiW2Cl (GGA-PBE, Alexandria via LeMat-Bulk).

extended XYZ file:
```
4
Lattice="0.000 3.179 3.179 3.179 0.000 3.179 3.179 3.179 0.000" Properties=species:S:1:pos:R:3 pbc="T T T"
Si 0.000 0.000 0.000
W 1.590 1.590 1.590
W 3.179 3.179 3.179
Cl 4.769 4.769 4.769
```

## Properties
As for the raw total energy: -7.30 eV per atom. The spin magnetization is 0.0 μB/cell. Its uncorrected formation energy is 3.97 eV per formula unit.



(11)
# SiWCl2

A relaxed structure of SiWCl2 (GGA-PBE, Alexandria via LeMat-Bulk).

extended XYZ file:
```
4
Lattice="0.000 3.168 3.168 3.168 0.000 3.168 3.168 3.168 0.000" Properties=species:S:1:pos:R:3 pbc="T T T"
Si 0.000 0.000 0.000
W 3.168 3.168 3.168
Cl 1.584 1.584 1.584
Cl 4.752 4.752 4.752
```

## Properties
As for the raw total energy: -4.43 eV per atom. The spin magnetization is 0.0 μB/cell. Its uncorrected formation energy is 4.35 eV per formula unit.



(12)
# SiW2Cl

A relaxed structure of SiW2Cl (GGA-PBE, Alexandria via LeMat-Bulk).

extended XYZ file:
```
4
Lattice="1.371 -2.655 0.000 1.371 2.655 0.000 0.000 0.000 8.876" Properties=species:S:1:pos:R:3 pbc="T T T"
Si 0.000 0.000 0.000
W 1.371 0.000 2.150
W 1.371 0.000 6.726
Cl 0.000 0.000 4.438
```

## Properties
As for the raw total energy: -7.69 eV per atom. The spin magnetization is 0.0 μB/cell. Its uncorrected formation energy is 2.42 eV per formula unit.



(13)
# SiW2Cl

A relaxed structure of SiW2Cl (GGA-PBE, Alexandria via LeMat-Bulk).

extended XYZ file:
```
4
Lattice="3.192 0.000 0.000 0.000 3.192 0.000 0.000 0.000 6.790" Properties=species:S:1:pos:R:3 pbc="T T T"
Si 0.000 0.000 0.000
W 1.596 1.596 1.216
W 1.596 1.596 5.575
Cl 0.000 0.000 3.395
```

## Properties
As for the raw total energy: -7.87 eV per atom. The spin magnetization is 0.0 μB/cell. Its uncorrected formation energy is 1.68 eV per formula unit.



(14)
# SiWCl2

A relaxed structure of SiWCl2 (GGA-PBE, Alexandria via LeMat-Bulk).

extended XYZ file:
```
4
Lattice="2.851 -4.518 0.000 2.851 4.518 0.000 -1.779 0.000 2.690" Properties=species:S:1:pos:R:3 pbc="T T T"
Si 0.000 0.000 0.000
W 2.851 0.000 0.000
Cl 1.425 2.259 0.000
Cl 1.425 -2.259 0.000
```

## Properties
As for the raw total energy: -4.81 eV per atom. The spin magnetization is 1.8 μB/cell. Its uncorrected formation energy is 2.83 eV per formula unit.



(15)
# SiWCl2

A relaxed structure of SiWCl2 (GGA-PBE, Alexandria via LeMat-Bulk).

extended XYZ file:
```
4
Lattice="1.501 0.867 9.233 -1.501 0.867 9.233 0.000 -1.733 9.233" Properties=species:S:1:pos:R:3 pbc="T T T"
Si 0.000 0.000 0.000
W 0.000 0.000 13.849
Cl 0.000 0.000 11.535
Cl 0.000 0.000 16.162
```

## Properties
As for the raw total energy: -5.14 eV per atom. The spin magnetization is 0.0 μB/cell. Its uncorrected formation energy is 1.49 eV per formula unit.



(16)
# SiWCl2

A relaxed structure of SiWCl2 (GGA-PBE, Alexandria via LeMat-Bulk).

extended XYZ file:
```
4
Lattice="2.875 -4.133 0.000 2.875 4.133 0.000 0.000 0.000 2.876" Properties=species:S:1:pos:R:3 pbc="T T T"
Si 0.000 0.000 0.000
W 2.875 0.000 0.000
Cl 1.438 2.067 1.438
Cl 1.438 -2.067 1.438
```

## Properties
As for the raw total energy: -4.45 eV per atom. The spin magnetization is 0.2 μB/cell. Its uncorrected formation energy is 4.28 eV per formula unit.



(17)
# SiW2Cl

A relaxed structure of SiW2Cl (GGA-PBE, Alexandria via LeMat-Bulk).

extended XYZ file:
```
4
Lattice="2.732 0.000 0.000 0.000 4.201 0.000 0.000 0.000 5.529" Properties=species:S:1:pos:R:3 pbc="T T T"
Si 0.000 0.000 0.000
W 0.000 0.000 2.694
W 1.366 2.101 1.222
Cl 1.366 2.101 3.620
```

## Properties
As for the raw total energy: -7.76 eV per atom. The spin magnetization is 0.0 μB/cell. Its uncorrected formation energy is 2.15 eV per formula unit.



(18)
# SiWCl2

A relaxed structure of SiWCl2 (GGA-PBE, Alexandria via LeMat-Bulk).

extended XYZ file:
```
4
Lattice="1.502 0.867 11.637 -1.502 0.867 11.637 0.000 -1.734 11.637" Properties=species:S:1:pos:R:3 pbc="T T T"
Si 0.000 0.000 0.000
W 0.000 0.000 17.456
Cl 0.000 0.000 4.026
Cl 0.000 0.000 30.887
```

## Properties
As for the raw total energy: -5.21 eV per atom. The spin magnetization is 0.0 μB/cell. Its uncorrected formation energy is 1.25 eV per formula unit.



(19)
# SiW2Cl

A relaxed structure of SiW2Cl (GGA-PBE, Alexandria via LeMat-Bulk).

extended XYZ file:
```
4
Lattice="2.729 0.000 0.000 0.000 4.391 0.000 0.000 0.000 5.432" Properties=species:S:1:pos:R:3 pbc="T T T"
Si 0.000 0.000 0.000
W 0.000 2.196 2.716
W 1.365 2.196 0.000
Cl 1.365 0.000 2.716
```

## Properties
As for the raw total energy: -7.55 eV per atom. The spin magnetization is 0.0 μB/cell. Its uncorrected formation energy is 2.98 eV per formula unit.



(20)
# SiW4Cl

A relaxed structure of SiW4Cl (GGA-PBE, Alexandria via LeMat-Bulk).

extended XYZ file:
```
6
Lattice="0.000 3.766 3.766 3.766 0.000 3.766 3.766 3.766 0.000" Properties=species:S:1:pos:R:3 pbc="T T T"
Si 0.000 0.000 0.000
W 2.840 2.840 2.840
W 4.692 4.692 2.840
W 4.692 2.840 4.692
W 2.840 4.692 4.692
Cl 5.649 5.649 5.649
```

## Properties
As for the raw total energy: -8.63 eV per atom. The spin magnetization is 0.0 μB/cell. Its uncorrected formation energy is 7.28 eV per formula unit.



(21)
# SiWCl2

A relaxed structure of SiWCl2 (GGA-PBE, Alexandria via LeMat-Bulk).

extended XYZ file:
```
4
Lattice="-1.445 2.342 7.254 1.445 -2.342 7.254 1.445 2.342 -7.254" Properties=species:S:1:pos:R:3 pbc="T T T"
Si 0.000 0.000 0.000
W 1.445 0.000 2.179
Cl 0.000 0.000 4.106
Cl 0.000 2.342 1.903
```

## Properties
As for the raw total energy: -5.09 eV per atom. The spin magnetization is 0.0 μB/cell. Its uncorrected formation energy is 1.72 eV per formula unit.



(22)
# SiWCl2

A relaxed structure of SiWCl2 (GGA-PBE, Alexandria via LeMat-Bulk).

extended XYZ file:
```
8
Lattice="-4.385 4.385 2.427 4.385 -4.385 2.427 4.385 4.385 -2.427" Properties=species:S:1:pos:R:3 pbc="T T T"
Si 0.000 0.000 0.000
Si 0.000 4.385 1.213
W 4.385 0.000 1.213
W 0.000 0.000 2.427
Cl 2.193 -0.982 1.820
Cl 3.403 2.193 0.607
Cl 2.193 5.367 -0.607
Cl 0.982 2.193 3.033
```

## Properties
As for the raw total energy: -5.13 eV per atom. The spin magnetization is 3.4 μB/cell. Its uncorrected formation energy is 1.55 eV per formula unit.



(23)
# SiW2Cl

A relaxed structure of SiW2Cl (GGA-PBE, Alexandria via LeMat-Bulk).

extended XYZ file:
```
4
Lattice="1.640 -2.319 0.000 1.640 2.319 0.000 0.000 0.000 9.475" Properties=species:S:1:pos:R:3 pbc="T T T"
Si 0.000 0.000 0.000
W 0.000 0.000 5.305
W 1.640 0.000 7.454
Cl 1.640 0.000 3.336
```

## Properties
As for the raw total energy: -7.94 eV per atom. The spin magnetization is 0.0 μB/cell. Its uncorrected formation energy is 1.41 eV per formula unit.



(24)
# SiWCl2

A relaxed structure of SiWCl2 (GGA-PBE, Alexandria via LeMat-Bulk).

extended XYZ file:
```
4
Lattice="3.692 0.000 0.000 0.000 3.140 0.000 -0.999 0.000 7.724" Properties=species:S:1:pos:R:3 pbc="T T T"
Si 0.000 0.000 0.000
W 0.812 1.570 7.036
Cl 0.827 0.000 5.148
Cl 2.538 1.570 1.743
```

## Properties
As for the raw total energy: -5.70 eV per atom. The spin magnetization is 0.0 μB/cell. Its uncorrected formation energy is -0.73 eV per formula unit.



(25)
# SiWCl2

A relaxed structure of SiWCl2 (GGA-PBE, Alexandria via LeMat-Bulk).

extended XYZ file:
```
4
Lattice="3.021 0.000 0.000 0.000 3.021 0.000 0.000 0.000 8.328" Properties=species:S:1:pos:R:3 pbc="T T T"
Si 0.000 0.000 0.000
W 1.510 1.510 1.524
Cl 0.000 0.000 3.132
Cl 1.510 1.510 6.556
```

## Properties
As for the raw total energy: -5.27 eV per atom. The spin magnetization is 0.0 μB/cell. Its uncorrected formation energy is 1.00 eV per formula unit.



(26)
# SiWCl2

A relaxed structure of SiWCl2 (GGA-PBE, Alexandria via LeMat-Bulk).

extended XYZ file:
```
4
Lattice="3.089 0.000 0.000 0.000 4.471 0.000 -0.076 0.000 4.861" Properties=species:S:1:pos:R:3 pbc="T T T"
Si 0.000 0.000 0.000
W 1.506 0.000 2.430
Cl 0.906 2.236 1.252
Cl 2.107 2.236 3.609
```

## Properties
As for the raw total energy: -4.93 eV per atom. The spin magnetization is 0.0 μB/cell. Its uncorrected formation energy is 2.33 eV per formula unit.



(27)
# SiW2Cl

A relaxed structure of SiW2Cl (GGA-PBE, Alexandria via LeMat-Bulk).

extended XYZ file:
```
4
Lattice="3.128 0.000 0.000 0.000 3.128 0.000 0.000 0.000 7.894" Properties=species:S:1:pos:R:3 pbc="T T T"
Si 0.000 0.000 0.000
W 0.000 0.000 2.783
W 1.564 1.564 1.148
Cl 1.564 1.564 4.554
```

## Properties
As for the raw total energy: -8.02 eV per atom. The spin magnetization is 0.0 μB/cell. Its uncorrected formation energy is 1.10 eV per formula unit.



(28)
# SiW2Cl

A relaxed structure of SiW2Cl (GGA-PBE, Alexandria via LeMat-Bulk).

extended XYZ file:
```
4
Lattice="4.295 -1.398 0.000 4.295 1.398 0.000 -1.297 0.000 5.163" Properties=species:S:1:pos:R:3 pbc="T T T"
Si 0.000 0.000 0.000
W 1.208 0.000 3.942
W 6.086 0.000 1.221
Cl 3.647 0.000 2.582
```

## Properties
As for the raw total energy: -7.69 eV per atom. The spin magnetization is 0.0 μB/cell. Its uncorrected formation energy is 2.41 eV per formula unit.



(29)
# SiWCl2

A relaxed structure of SiWCl2 (GGA-PBE, Alexandria via LeMat-Bulk).

extended XYZ file:
```
4
Lattice="1.589 0.917 8.917 -1.589 0.917 8.917 0.000 -1.835 8.917" Properties=species:S:1:pos:R:3 pbc="T T T"
Si 0.000 0.000 0.000
W 0.000 0.000 7.218
Cl 0.000 0.000 14.381
Cl 0.000 0.000 19.610
```

## Properties
As for the raw total energy: -5.64 eV per atom. The spin magnetization is 0.0 μB/cell. Its uncorrected formation energy is -0.50 eV per formula unit.



(30)
# SiW2Cl

A relaxed structure of SiW2Cl (GGA-PBE, Alexandria via LeMat-Bulk).

extended XYZ file:
```
4
Lattice="-2.037 2.037 3.765 2.037 -2.037 3.765 2.037 2.037 -3.765" Properties=species:S:1:pos:R:3 pbc="T T T"
Si 0.000 0.000 0.000
W 2.037 0.000 1.883
W 0.000 0.000 3.765
Cl 0.000 2.037 1.883
```

## Properties
As for the raw total energy: -7.43 eV per atom. The spin magnetization is 0.0 μB/cell. Its uncorrected formation energy is 3.47 eV per formula unit.